VASP calculation (GGA-PBEsol) on an optimized crystal structure of PbI2O.

a = 7.658 Å, b = 7.658 Å, c = 7.658 Å
α = 130.17°, β = 130.17°, γ = 73.14°
Sites, in units of the cell vectors:
Pb (0.000, 0.000, 0.000)
Pb (0.750, 0.250, 0.500)
I (0.250, 0.125, 0.625)
I (0.375, 0.750, 0.875)
I (0.500, 0.625, 0.375)
I (0.875, 0.500, 0.125)
O (0.250, 0.750, 0.500)
O (0.500, 0.500, 0.000)

Uncorrected formation energy   0.244 eV per atom
Raw total energy   -2.951 eV per atom
Volume   256 Å³/cell



VASP calculation (GGA-PBEsol) on an optimized crystal structure of PbI2O6.

a = 6.826 Å, b = 7.050 Å, c = 13.055 Å
α = 89.58°, β = 89.69°, γ = 63.79°
Sites, in units of the cell vectors:
Pb (0.025, 0.163, 0.132)
Pb (0.027, 0.664, 0.368)
Pb (0.973, 0.336, 0.632)
Pb (0.975, 0.837, 0.868)
I (0.338, 0.130, 0.886)
I (0.338, 0.627, 0.613)
I (0.348, 0.520, 0.116)
I (0.349, 0.023, 0.385)
I (0.651, 0.977, 0.615)
I (0.652, 0.480, 0.884)
I (0.662, 0.373, 0.387)
I (0.662, 0.870, 0.114)
O (0.085, 0.547, 0.167)
O (0.087, 0.052, 0.332)
O (0.142, 0.543, 0.558)
O (0.143, 0.044, 0.943)
O (0.275, 0.051, 0.522)
O (0.276, 0.550, 0.978)
O (0.307, 0.581, 0.749)
O (0.308, 0.084, 0.752)
O (0.322, 0.785, 0.145)
O (0.326, 0.288, 0.355)
O (0.415, 0.124, 0.090)
O (0.416, 0.626, 0.410)
O (0.584, 0.374, 0.590)
O (0.585, 0.876, 0.910)
O (0.674, 0.712, 0.645)
O (0.678, 0.215, 0.855)
O (0.692, 0.916, 0.248)
O (0.693, 0.419, 0.251)
O (0.724, 0.450, 0.022)
O (0.725, 0.949, 0.478)
O (0.857, 0.956, 0.057)
O (0.858, 0.457, 0.442)
O (0.913, 0.948, 0.668)
O (0.915, 0.453, 0.833)

Uncorrected formation energy   -0.598 eV per atom
Raw total energy   -4.935 eV per atom
Volume   564 Å³/cell